Below is a relaxed Al2FeP crystal, with properties calculated at the PBE-GGA level.

```
Al2FeP
1.0
1.437 0.830 7.750
-1.437 0.830 7.750
0.000 -1.659 7.750
Al Fe P
2 1 1
Cartesian
0.000 0.000 5.720
0.000 0.000 17.529
0.000 0.000 11.624
0.000 0.000 0.000
```

Output
Total magnetic moment: 1.5 μB/f.u.
N(E_F): 0.85 states/eV per atom
Calculated total energy: -21.4 eV/cell